## YBeInSi2 (GGA-PBE)

Data for a geometry-optimized YBeInSi2 structure.

The structure belongs to space group P4/mmm (No. 123); the cell edges are 4.9673, 4.9673 and 5.7495 Å and the angles 90.00°, 90.00° and 90.00°. The inequivalent atoms are Y at (0.0000, 0.0000, 0.0000), Be at (0.5000, 0.5000, 0.0000), In at (0.0000, 0.0000, 0.5000) and Si at (0.0000, 0.5000, 0.5000).

Its final energy is -3.474 eV/atom. The calculation puts the formation energy without anion corrections at 1281 meV/atom.

## NpNiSbH (GGA-PBE)

Data for a geometry-optimized NpNiSbH structure.

The structure belongs to space group P3m1 (No. 156); the cell edges are 4.2709, 4.2709 and 4.1394 Å and the angles 90.00°, 90.00° and 120.00°. The inequivalent atoms are Np at (0.0000, 0.0000, 0.0000), Ni at (0.6667, 0.3333, 0.5985), Sb at (0.3333, 0.6667, 0.4777) and H at (0.6667, 0.3333, 0.9870).

Its final energy is -6.892 eV/atom.

## NiAs2Se (GGA-PBE)

Data for a geometry-optimized NiAs2Se structure.

The structure belongs to space group I-42d (No. 122); the cell edges are 5.6308, 5.6308 and 11.3069 Å and the angles 90.00°, 90.00° and 90.00°. The inequivalent atoms are Ni at (0.0000, 0.0000, 0.0000), As at (0.1869, 0.2500, 0.1250) and Se at (0.0000, 0.0000, 0.5000).

Its final energy is -4.605 eV/atom. The calculation puts the formation energy without anion corrections at 36 meV/atom.

## LiSc4Pd3 (GGA-PBE)

Data for a geometry-optimized LiSc4Pd3 structure.

The structure belongs to space group I4/mmm (No. 139); the cell edges are 4.7301, 4.7301 and 13.1148 Å and the angles 90.00°, 90.00° and 90.00°. The inequivalent atoms are Li at (0.0000, 0.0000, 0.0000), Sc at (0.0000, 0.5000, 0.1267), Pd at (0.0000, 0.0000, 0.2404) and Pd at (0.0000, 0.0000, 0.5000).

Its final energy is -6.031 eV/atom. As for the formation energy: -679 meV/atom.

## TaNiMo4 (GGA-PBE)

Data for a geometry-optimized TaNiMo4 structure.

The structure belongs to space group F-43m (No. 216); the cell edges are 7.3432, 7.3432 and 7.3432 Å and the angles 90.00°, 90.00° and 90.00°. The inequivalent atoms are Ta at (0.0000, 0.0000, 0.0000), Ni at (0.2500, 0.2500, 0.2500) and Mo at (0.1253, 0.1253, 0.6253).

Its final energy is -9.809 eV/atom. As for the formation energy: 351 meV/atom.

## Tb3YEr4S8 (GGA-PBE)

Data for a geometry-optimized Tb3YEr4S8 structure.

The structure belongs to space group R-3m (No. 166, hexagonal axes); the cell edges are 7.7820, 7.7820 and 19.1216 Å and the angles 90.00°, 90.00° and 120.00°. The inequivalent atoms are Tb at (0.0000, 0.5000, 0.0000), Y at (0.0000, 0.0000, 0.0000), Er at (0.0000, 0.0000, 0.5000), Er at (0.0000, 0.5000, 0.5000), S at (0.0000, 0.0000, 0.2478) and S at (0.9996, 0.4998, 0.2479).

Its final energy is -6.454 eV/atom. The calculation puts the formation energy without anion corrections at -1977 meV/atom.

## KAuIN2 (GGA-PBE)

Data for a geometry-optimized KAuIN2 structure.

The structure belongs to space group P4/mmm (No. 123); the cell edges are 4.3823, 4.3823 and 7.0029 Å and the angles 90.00°, 90.00° and 90.00°. The inequivalent atoms are K at (0.0000, 0.0000, 0.0000), Au at (0.5000, 0.5000, 0.5000), I at (0.5000, 0.5000, 0.0000) and N at (0.0000, 0.5000, 0.5000).

The relative energy among the computed polymorphs comes out at 0.0 meV per atom. Its final energy is -3.377 eV/atom. The calculation puts the formation energy without anion corrections at 1138 meV/atom.

## RbLi2AlV (GGA-PBE)

Data for a geometry-optimized RbLi2AlV structure.

The structure belongs to space group P4/mmm (No. 123); the cell edges are 4.4180, 4.4180 and 5.8536 Å and the angles 90.00°, 90.00° and 90.00°. The inequivalent atoms are Rb at (0.0000, 0.0000, 0.0000), Li at (0.0000, 0.5000, 0.0000), Al at (0.0000, 0.0000, 0.5000) and V at (0.5000, 0.5000, 0.5000).

Its final energy is -1.913 eV/atom. As for the formation energy: 1619 meV/atom.

Copy entry 5 word for word.
## TaNiMo4 (GGA-PBE)

Data for a geometry-optimized TaNiMo4 structure.

The structure belongs to space group F-43m (No. 216); the cell edges are 7.3432, 7.3432 and 7.3432 Å and the angles 90.00°, 90.00° and 90.00°. The inequivalent atoms are Ta at (0.0000, 0.0000, 0.0000), Ni at (0.2500, 0.2500, 0.2500) and Mo at (0.1253, 0.1253, 0.6253).

Its final energy is -9.809 eV/atom. As for the formation energy: 351 meV/atom.

What is the final energy in the third record? -4.605 eV/atom

What did the second record say?
## NpNiSbH (GGA-PBE)

Data for a geometry-optimized NpNiSbH structure.

The structure belongs to space group P3m1 (No. 156); the cell edges are 4.2709, 4.2709 and 4.1394 Å and the angles 90.00°, 90.00° and 120.00°. The inequivalent atoms are Np at (0.0000, 0.0000, 0.0000), Ni at (0.6667, 0.3333, 0.5985), Sb at (0.3333, 0.6667, 0.4777) and H at (0.6667, 0.3333, 0.9870).

Its final energy is -6.892 eV/atom.